Arrangement A

A plane-wave DFT calculation with GGA-PBE was carried out for an optimized crystal structure of Ac2SmAg2.

Values from the calculation:
space-group type: C2/m

The structure in POSCAR format:
```
Ac2SmAg2
1.0
-1.023 -1.412 -4.690
-3.773 -5.833 -0.091
-9.206 4.195 -1.924
Ac Sm Ag
4 2 4
Direct
0.526 0.635 0.313 Ac
0.317 0.272 0.094 Ac
0.474 0.365 0.687 Ac
0.683 0.728 0.906 Ac
0.208 0.945 0.640 Sm
0.792 0.055 0.360 Sm
0.965 0.172 0.897 Ag
0.871 0.691 0.568 Ag
0.129 0.309 0.432 Ag
0.035 0.828 0.103 Ag
```

Arrangement B

A plane-wave DFT calculation with GGA-PBE was carried out for an optimized crystal structure of Ac2SmAg2.

Values from the calculation:
space-group type: Cmcm

The structure in POSCAR format:
```
Ac2SmAg2
1.0
-4.596 3.551 -1.702
1.215 -1.495 -6.401
-5.761 -5.673 3.722
Ag Sm Ac
4 2 4
Direct
0.750 0.860 0.250 Ag
0.250 0.610 0.750 Ag
0.750 0.390 0.250 Ag
0.250 0.140 0.750 Ag
0.500 0.000 0.000 Sm
0.000 0.000 0.000 Sm
0.750 0.792 0.584 Ac
0.750 0.418 0.837 Ac
0.250 0.208 0.416 Ac
0.250 0.582 0.163 Ac
```

Quick one: least stable of them? arrangement B

Arrangement A

A plane-wave DFT calculation with GGA-PBE was carried out for an optimized crystal structure of AcSm2Ag2.

Values from the calculation:
space-group type: Cmmm

The structure in POSCAR format:
```
AcSm2Ag2
1.0
3.746 0.000 0.000
0.000 3.711 0.703
0.000 -0.144 10.907
Ag Sm Ac
2 2 1
Direct
0.500 0.601 0.799 Ag
0.500 0.399 0.201 Ag
0.000 0.180 0.641 Sm
0.000 0.820 0.359 Sm
0.000 0.000 0.000 Ac
```

Arrangement B

A plane-wave DFT calculation with GGA-PBE was carried out for an optimized crystal structure of AcSm2Ag2.

Values from the calculation:
space-group type: P2_1/m

The structure in POSCAR format:
```
AcSm2Ag2
1.0
-1.070 -3.031 -3.929
3.785 -3.441 1.623
-8.432 -4.913 6.086
Sm Ag Ac
4 4 2
Direct
0.250 0.838 0.888 Sm
0.250 0.249 0.505 Sm
0.750 0.751 0.495 Sm
0.750 0.162 0.112 Sm
0.750 0.228 0.367 Ag
0.250 0.772 0.633 Ag
0.750 0.646 0.004 Ag
0.250 0.354 0.996 Ag
0.250 0.703 0.245 Ac
0.750 0.297 0.755 Ac
```

Quick one: least stable of them? arrangement A

Arrangement A

A plane-wave DFT calculation with GGA-PBE was carried out for an optimized crystal structure of Ac2SmAg.

Values from the calculation:
space-group type: P4/mmm

The structure in POSCAR format:
```
Ac2SmAg
1.0
-0.388 3.833 -0.807
-0.077 -0.818 -3.849
-9.139 -0.850 0.364
Ag Sm Ac
1 1 2
Direct
0.500 0.500 0.000 Ag
0.500 0.500 0.500 Sm
0.000 0.000 0.217 Ac
0.000 0.000 0.783 Ac
```

Arrangement B

A plane-wave DFT calculation with GGA-PBE was carried out for an optimized crystal structure of Ac2SmAg.

Values from the calculation:
space-group type: R3m

The structure in POSCAR format:
```
Ac2SmAg
1.0
-1.582 1.036 3.470
-0.381 -2.682 2.877
9.220 2.046 5.842
Sm Ac Ag
1 2 1
Direct
0.499 0.499 0.502 Sm
0.074 0.074 0.778 Ac
0.259 0.259 0.222 Ac
0.667 0.667 0.998 Ag
```

Quick one: least stable of them? arrangement B

Arrangement A

A plane-wave DFT calculation with GGA-PBE was carried out for an optimized crystal structure of AcSmZnAg.

Values from the calculation:
space-group type: P4mm

The structure in POSCAR format:
```
AcSmZnAg
1.0
-2.378 0.343 2.962
-1.740 -3.236 -1.022
4.809 -3.948 4.317
Ac Zn Ag Sm
1 1 1 1
Direct
0.500 0.500 0.113 Ac
0.000 0.000 0.385 Zn
0.000 0.000 0.827 Ag
0.500 0.500 0.602 Sm
```

Arrangement B

A plane-wave DFT calculation with GGA-PBE was carried out for an optimized crystal structure of AcSmZnAg.

Values from the calculation:
space-group type: F-43m

The structure in POSCAR format:
```
AcSmZnAg
1.0
-1.102 -4.088 -3.355
4.026 -2.878 -2.165
0.834 -5.096 1.587
Sm Ag Ac Zn
1 1 1 1
Direct
0.500 0.500 0.500 Sm
0.250 0.250 0.250 Ag
0.000 0.000 0.000 Ac
0.750 0.750 0.750 Zn
```

Quick one: least stable of them? arrangement B

Arrangement A

A plane-wave DFT calculation with GGA-PBE was carried out for an optimized crystal structure of Ac2Ag2Sn3.

Values from the calculation:
space-group type: C2/m

The structure in POSCAR format:
```
Ac2Ag2Sn3
1.0
-1.197 -4.558 -0.397
6.107 0.887 -0.421
-1.875 -0.164 7.528
Ac Sn Ag
2 3 2
Direct
0.147 0.294 0.786 Ac
0.853 0.706 0.214 Ac
0.391 0.782 0.558 Sn
0.500 0.000 0.000 Sn
0.609 0.218 0.442 Sn
0.845 0.690 0.743 Ag
0.155 0.310 0.257 Ag
```

Arrangement B

A plane-wave DFT calculation with GGA-PBE was carried out for an optimized crystal structure of Ac2Ag2Sn3.

Values from the calculation:
space-group type: Cmcm

The structure in POSCAR format:
```
Ac2Ag2Sn3
1.0
0.408 4.431 -2.185
3.846 -3.213 -5.797
-9.212 -3.880 -3.961
Ag Ac Sn
4 4 6
Direct
0.307 0.442 0.613 Ag
0.693 0.558 0.387 Ag
0.693 0.942 0.387 Ag
0.307 0.058 0.613 Ag
0.160 0.250 0.319 Ac
0.951 0.250 0.902 Ac
0.840 0.750 0.681 Ac
0.049 0.750 0.098 Ac
0.565 0.440 0.131 Sn
0.435 0.940 0.869 Sn
0.780 0.250 0.561 Sn
0.565 0.060 0.131 Sn
0.435 0.560 0.869 Sn
0.220 0.750 0.439 Sn
```

Quick one: least stable of them? arrangement A

Arrangement A

A plane-wave DFT calculation with GGA-PBE was carried out for an optimized crystal structure of Ac5Ag2Sn5.

Values from the calculation:
space-group type: C2/m

The structure in POSCAR format:
```
Ac5Ag2Sn5
1.0
-4.328 0.788 -2.123
0.214 -6.388 2.812
-1.844 11.989 8.211
Ac Sn Ag
5 5 2
Direct
0.349 0.698 0.729 Ac
0.651 0.302 0.271 Ac
0.337 0.675 0.995 Ac
0.500 0.000 0.500 Ac
0.663 0.325 0.005 Ac
0.838 0.676 0.549 Sn
0.000 0.000 0.000 Sn
0.311 0.622 0.216 Sn
0.162 0.324 0.451 Sn
0.689 0.378 0.784 Sn
0.061 0.122 0.765 Ag
0.939 0.878 0.235 Ag
```

Arrangement B

A plane-wave DFT calculation with GGA-PBE was carried out for an optimized crystal structure of Ac5Ag2Sn5.

Values from the calculation:
space-group type: C2/m

The structure in POSCAR format:
```
Ac5Ag2Sn5
1.0
-4.708 -1.224 -0.227
-0.164 -8.835 -1.201
-2.655 -1.196 9.276
Ag Sn Ac
2 5 5
Direct
0.609 0.535 0.247 Ag
0.391 0.465 0.753 Ag
0.935 0.309 0.821 Sn
0.711 0.227 0.351 Sn
0.065 0.691 0.179 Sn
0.000 0.000 0.000 Sn
0.289 0.773 0.649 Sn
0.000 0.500 0.500 Ac
0.689 0.703 0.919 Ac
0.630 0.065 0.675 Ac
0.370 0.935 0.325 Ac
0.311 0.297 0.081 Ac
```

Quick one: least stable of them? arrangement A

Arrangement A

A plane-wave DFT calculation with GGA-PBE was carried out for an optimized crystal structure of AcAgSn2.

Values from the calculation:
space-group type: Cmcm

The structure in POSCAR format:
```
AcAgSn2
1.0
-4.542 1.145 1.284
0.191 -3.166 3.499
3.397 8.567 4.379
Sn Ac Ag
4 2 2
Direct
0.750 0.749 0.498 Sn
0.750 0.463 0.925 Sn
0.250 0.537 0.075 Sn
0.250 0.251 0.502 Sn
0.250 0.896 0.791 Ac
0.750 0.104 0.209 Ac
0.750 0.327 0.655 Ag
0.250 0.673 0.345 Ag
```

Arrangement B

A plane-wave DFT calculation with GGA-PBE was carried out for an optimized crystal structure of AcAgSn2.

Values from the calculation:
space-group type: P4/mmm

The structure in POSCAR format:
```
AcAgSn2
1.0
3.840 0.000 0.000
0.000 3.840 0.000
0.000 0.000 7.544
Ag Ac Sn
1 1 2
Direct
0.500 0.500 0.000 Ag
0.500 0.500 0.500 Ac
0.000 0.000 0.196 Sn
0.000 0.000 0.804 Sn
```

Arrangement C

A plane-wave DFT calculation with GGA-PBE was carried out for an optimized crystal structure of AcAgSn2.

Values from the calculation:
space-group type: P4/mmm

The structure in POSCAR format:
```
AcAgSn2
1.0
4.851 0.000 0.000
0.000 4.830 0.000
0.000 0.000 4.830
Ac Sn Ag
1 2 1
Direct
0.500 0.500 0.500 Ac
0.000 0.000 0.500 Sn
0.000 0.500 0.000 Sn
0.500 0.000 0.000 Ag
```

Quick one: least stable of them? arrangement B

Arrangement A

A plane-wave DFT calculation with GGA-PBE was carried out for an optimized crystal structure of AcAgSn2.

Values from the calculation:
space-group type: Cmmm

The structure in POSCAR format:
```
AcAgSn2
1.0
3.570 0.000 0.000
0.000 5.541 2.338
0.000 0.385 6.002
Ac Ag Sn
1 1 2
Direct
0.000 0.054 0.946 Ac
0.500 0.554 0.446 Ag
0.500 0.554 0.946 Sn
0.500 0.054 0.446 Sn
```

Arrangement B

A plane-wave DFT calculation with GGA-PBE was carried out for an optimized crystal structure of AcAgSn2.

Values from the calculation:
space-group type: Fm-3m

The structure in POSCAR format:
```
AcAgSn2
1.0
5.438 0.000 0.000
2.719 4.710 0.000
2.719 1.570 4.440
Sn Ag Ac
2 1 1
Direct
0.750 0.750 0.750 Sn
0.250 0.250 0.250 Sn
0.000 0.000 0.000 Ag
0.500 0.500 0.500 Ac
```

Quick one: least stable of them? arrangement B

Arrangement A

A plane-wave DFT calculation with GGA-PBE was carried out for an optimized crystal structure of AcAg4Sn2.

Values from the calculation:
space-group type: P4_2/mnm

The structure in POSCAR format:
```
AcAg4Sn2
1.0
4.614 0.000 0.000
0.000 8.474 0.000
0.000 0.000 8.474
Ag Sn Ac
8 4 2
Direct
0.500 0.408 0.850 Ag
0.000 0.092 0.350 Ag
0.000 0.350 0.092 Ag
0.000 0.908 0.650 Ag
0.500 0.592 0.150 Ag
0.000 0.650 0.908 Ag
0.500 0.150 0.592 Ag
0.500 0.850 0.408 Ag
0.500 0.285 0.285 Sn
0.000 0.785 0.215 Sn
0.000 0.215 0.785 Sn
0.500 0.715 0.715 Sn
0.000 0.500 0.500 Ac
0.500 0.000 0.000 Ac
```

Arrangement B

A plane-wave DFT calculation with GGA-PBE was carried out for an optimized crystal structure of AcAg4Sn2.

Values from the calculation:
space-group type: I4/mmm

The structure in POSCAR format:
```
AcAg4Sn2
1.0
-0.750 6.085 2.404
-5.028 -3.954 -1.565
2.886 -3.199 4.980
Ag Sn Ac
4 2 1
Direct
0.500 0.271 0.771 Ag
0.729 0.500 0.229 Ag
0.271 0.500 0.771 Ag
0.500 0.729 0.229 Ag
0.250 0.750 0.500 Sn
0.750 0.250 0.500 Sn
0.000 0.000 0.000 Ac
```

Quick one: least stable of them? arrangement B

Arrangement A

A plane-wave DFT calculation with GGA-PBE was carried out for an optimized crystal structure of AcAg3Sn3.

Values from the calculation:
space-group type: R-3

The structure in POSCAR format:
```
AcAg3Sn3
1.0
7.637 0.000 0.000
3.819 6.614 0.000
3.819 2.205 7.344
Ag Sn Ac
6 6 2
Direct
0.286 0.864 0.380 Ag
0.136 0.530 0.620 Ag
0.530 0.714 0.620 Ag
0.470 0.286 0.380 Ag
0.864 0.470 0.380 Ag
0.714 0.136 0.620 Ag
0.946 0.147 0.228 Sn
0.678 0.946 0.228 Sn
0.322 0.054 0.772 Sn
0.853 0.322 0.772 Sn
0.054 0.853 0.772 Sn
0.147 0.678 0.228 Sn
0.661 0.661 0.016 Ac
0.339 0.339 0.984 Ac
```

Arrangement B

A plane-wave DFT calculation with GGA-PBE was carried out for an optimized crystal structure of AcAg3Sn3.

Values from the calculation:
space-group type: Pm-3n

The structure in POSCAR format:
```
AcAg3Sn3
1.0
-7.258 -1.774 1.086
1.515 -1.804 7.173
-1.426 7.114 2.090
Ag Sn Ac
6 6 2
Direct
0.250 0.500 0.000 Ag
0.000 0.750 0.500 Ag
0.500 0.000 0.250 Ag
0.750 0.500 0.000 Ag
0.000 0.250 0.500 Ag
0.500 0.000 0.750 Ag
0.250 0.000 0.500 Sn
0.750 0.000 0.500 Sn
0.500 0.250 0.000 Sn
0.500 0.750 0.000 Sn
0.000 0.500 0.750 Sn
0.000 0.500 0.250 Sn
0.500 0.500 0.500 Ac
0.000 0.000 0.000 Ac
```

Quick one: least stable of them? arrangement B

Arrangement A

A plane-wave DFT calculation with GGA-PBE was carried out for an optimized crystal structure of AcAg4Sn.

Values from the calculation:
space-group type: F-43m

The structure in POSCAR format:
```
AcAg4Sn
1.0
5.802 0.000 0.000
2.901 5.025 0.000
2.901 1.675 4.737
Ag Sn Ac
4 1 1
Direct
0.625 0.124 0.625 Ag
0.124 0.625 0.625 Ag
0.625 0.625 0.625 Ag
0.625 0.625 0.124 Ag
0.000 0.000 0.000 Sn
0.250 0.250 0.250 Ac
```

Arrangement B

A plane-wave DFT calculation with GGA-PBE was carried out for an optimized crystal structure of AcAg4Sn.

Values from the calculation:
space-group type: Cmcm

The structure in POSCAR format:
```
AcAg4Sn
1.0
-2.826 -1.641 -3.247
-2.249 -5.181 4.575
-4.814 5.999 4.426
Ag Ac Sn
8 2 2
Direct
0.500 0.500 0.000 Ag
0.335 0.062 0.670 Ag
0.500 0.000 0.000 Ag
0.931 0.250 0.861 Ag
0.069 0.750 0.139 Ag
0.335 0.438 0.670 Ag
0.665 0.938 0.330 Ag
0.665 0.562 0.330 Ag
0.882 0.750 0.764 Ac
0.118 0.250 0.236 Ac
0.235 0.750 0.470 Sn
0.765 0.250 0.530 Sn
```

Quick one: least stable of them? arrangement B